(1)
Density functional theory data (PBE-GGA) for an optimized crystal structure of Zr2BeSn. Values from VASP.

## Properties
**Total magnetization**: 0.00 μB per formula unit
**Formation energy from the elements**: 0.0750 eV per atom
**SG**: I-42d (122)
**Final energy**: -6.131 eV/atom
**Distance to the lowest polymorph of the same formula**: 0.1669 eV per atom

The structure in Quantum ESPRESSO input format:
```
&SYSTEM
  ibrav = 0, nat = 16, ntyp = 3
/
ATOMIC_SPECIES
Zr 91.22 Zr.upf
Be 9.01 Be.upf
Sn 118.71 Sn.upf
CELL_PARAMETERS angstrom
7.4975 0.0000 0.0000
0.0000 7.4975 0.0000
0.0000 0.0000 5.8174
ATOMIC_POSITIONS crystal
Zr 0.2229 0.7500 0.1250
Zr 0.2500 0.2229 0.8750
Zr 0.2500 0.2771 0.3750
Zr 0.2771 0.7500 0.6250
Zr 0.7229 0.2500 0.6250
Zr 0.7500 0.7229 0.3750
Zr 0.7500 0.7771 0.8750
Zr 0.7771 0.2500 0.1250
Be 0.0000 0.0000 0.0000
Be 0.0000 0.5000 0.2500
Be 0.5000 0.0000 0.7500
Be 0.5000 0.5000 0.5000
Sn 0.0000 0.0000 0.5000
Sn 0.0000 0.5000 0.7500
Sn 0.5000 0.0000 0.2500
Sn 0.5000 0.5000 0.0000
```

(2)
Density functional theory data (PBE-GGA) for an optimized crystal structure of PrTh2Sb. Values from VASP.

## Properties
**Total magnetization**: 0.00 μB per formula unit
**Raw formation energy**: -0.423 eV/atom
**SG**: P4/mmm (123)
**Final energy**: -6.359 eV/atom

The structure in Quantum ESPRESSO input format:
```
&SYSTEM
  ibrav = 0, nat = 4, ntyp = 3
/
ATOMIC_SPECIES
Pr 140.91 Pr.upf
Th 232.04 Th.upf
Sb 121.76 Sb.upf
CELL_PARAMETERS angstrom
4.8187 0.0000 0.0000
0.0000 4.8187 0.0000
0.0000 0.0000 5.1712
ATOMIC_POSITIONS crystal
Pr 0.0000 0.0000 0.0000
Th 0.0000 0.5000 0.5000
Th 0.5000 0.0000 0.5000
Sb 0.5000 0.5000 0.0000
```

(3)
Density functional theory data (PBE-GGA) for an optimized crystal structure of SmSiNi2H. Values from VASP.

## Properties
**Total magnetization**: 0.00 μB per formula unit
**SG**: Cmcm (63)
**Final energy**: -5.702 eV/atom

The structure in Quantum ESPRESSO input format:
```
&SYSTEM
  ibrav = 0, nat = 10, ntyp = 4
/
ATOMIC_SPECIES
Sm 150.36 Sm.upf
Si 28.09 Si.upf
Ni 58.69 Ni.upf
H 1.01 H.upf
CELL_PARAMETERS angstrom
1.8817 -5.1979 0.0000
1.8817 5.1979 0.0000
0.0000 0.0000 6.7298
ATOMIC_POSITIONS crystal
Sm 0.0598 0.9402 0.7500
Sm 0.9402 0.0598 0.2500
Si 0.2224 0.7776 0.2500
Si 0.7776 0.2224 0.7500
Ni 0.3322 0.6678 0.5588
Ni 0.3322 0.6678 0.9412
Ni 0.6678 0.3322 0.0588
Ni 0.6678 0.3322 0.4412
H 0.5000 0.5000 0.0000
H 0.5000 0.5000 0.5000
```

(4)
Density functional theory data (PBE-GGA) for an optimized crystal structure of NdY2Ag. Values from VASP.

## Properties
**Total magnetization**: 0.00 μB per formula unit
**Formation energy from the elements**: -0.1393 eV per atom
**SG**: P4/mmm (123)
**Final energy**: -5.276 eV/atom
**Distance to the lowest polymorph of the same formula**: 0.0000 eV per atom

The structure in Quantum ESPRESSO input format:
```
&SYSTEM
  ibrav = 0, nat = 4, ntyp = 3
/
ATOMIC_SPECIES
Nd 144.24 Nd.upf
Y 88.91 Y.upf
Ag 107.87 Ag.upf
CELL_PARAMETERS angstrom
3.6363 0.0000 0.0000
0.0000 3.6363 0.0000
0.0000 0.0000 8.8289
ATOMIC_POSITIONS crystal
Nd 0.0000 0.0000 0.0000
Y 0.5000 0.5000 0.2930
Y 0.5000 0.5000 0.7070
Ag 0.0000 0.0000 0.5000
```

(5)
Density functional theory data (PBE-GGA) for an optimized crystal structure of Li2AlFeH. Values from VASP.

## Properties
**Total magnetization**: 1.90 μB per formula unit
**SG**: P4/mmm (123)
**Final energy**: -3.946 eV/atom

The structure in Quantum ESPRESSO input format:
```
&SYSTEM
  ibrav = 0, nat = 5, ntyp = 4
/
ATOMIC_SPECIES
Li 6.94 Li.upf
Al 26.98 Al.upf
Fe 55.84 Fe.upf
H 1.01 H.upf
CELL_PARAMETERS angstrom
3.6808 0.0000 0.0000
0.0000 3.6808 0.0000
0.0000 0.0000 3.9521
ATOMIC_POSITIONS crystal
Li 0.0000 0.5000 0.0000
Li 0.5000 0.0000 0.0000
Al 0.0000 0.0000 0.5000
Fe 0.5000 0.5000 0.5000
H 0.5000 0.5000 0.0000
```

(6)
Density functional theory data (PBE-GGA) for an optimized crystal structure of Tb6Nd8Sm. Values from VASP.

## Properties
**Total magnetization**: 0.00 μB per formula unit
**Formation energy from the elements**: 0.1525 eV per atom
**SG**: R-3 (148)
**Final energy**: -4.557 eV/atom
**Distance to the lowest polymorph of the same formula**: 0.0000 eV per atom

The structure in Quantum ESPRESSO input format:
```
&SYSTEM
  ibrav = 0, nat = 15, ntyp = 3
/
ATOMIC_SPECIES
Tb 158.93 Tb.upf
Nd 144.24 Nd.upf
Sm 150.36 Sm.upf
CELL_PARAMETERS angstrom
4.6718 2.6973 6.8060
-4.6718 2.6973 6.8060
0.0000 -5.3946 6.8060
ATOMIC_POSITIONS crystal
Tb 0.0527 0.7597 0.6081
Tb 0.2403 0.3919 0.9473
Tb 0.3919 0.9473 0.2403
Tb 0.6081 0.0527 0.7597
Tb 0.7597 0.6081 0.0527
Tb 0.9473 0.2403 0.3919
Nd 0.0732 0.0732 0.0732
Nd 0.1662 0.5860 0.2715
Nd 0.2715 0.1662 0.5860
Nd 0.4140 0.7285 0.8338
Nd 0.5860 0.2715 0.1662
Nd 0.7285 0.8338 0.4140
Nd 0.8338 0.4140 0.7285
Nd 0.9268 0.9268 0.9268
Sm 0.5000 0.5000 0.5000
```

(7)
Density functional theory data (PBE-GGA) for an optimized crystal structure of Li3Pa4S12. Values from VASP.

## Properties
**Total magnetization**: 0.00 μB per formula unit
**Raw formation energy**: -1.334 eV/atom
**SG**: Im-3 (204)
**Final energy**: -6.242 eV/atom

The structure in Quantum ESPRESSO input format:
```
&SYSTEM
  ibrav = 0, nat = 19, ntyp = 3
/
ATOMIC_SPECIES
Li 6.94 Li.upf
Pa 231.04 Pa.upf
S 32.06 S.upf
CELL_PARAMETERS angstrom
-4.9525 4.9525 4.9525
4.9525 -4.9525 4.9525
4.9525 4.9525 -4.9525
ATOMIC_POSITIONS crystal
Li 0.0000 0.5000 0.5000
Li 0.5000 0.0000 0.5000
Li 0.5000 0.5000 0.0000
Pa 0.0000 0.0000 0.5000
Pa 0.0000 0.5000 0.0000
Pa 0.5000 0.0000 0.0000
Pa 0.5000 0.5000 0.5000
S 0.1306 0.3114 0.8193
S 0.1807 0.4921 0.3114
S 0.1807 0.8694 0.6886
S 0.3114 0.1807 0.4921
S 0.3114 0.8193 0.1306
S 0.4921 0.3114 0.1807
S 0.5079 0.6886 0.8193
S 0.6886 0.1807 0.8694
S 0.6886 0.8193 0.5079
S 0.8193 0.1306 0.3114
S 0.8193 0.5079 0.6886
S 0.8694 0.6886 0.1807
```

(8)
Density functional theory data (PBE-GGA) for an optimized crystal structure of RbHI2. Values from VASP.

## Properties
**Total magnetization**: 0.00 μB per formula unit
**SG**: I-42d (122)
**Final energy**: -2.235 eV/atom
**Distance to the lowest polymorph of the same formula**: 0.3597 eV per atom

The structure in Quantum ESPRESSO input format:
```
&SYSTEM
  ibrav = 0, nat = 16, ntyp = 3
/
ATOMIC_SPECIES
Rb 85.47 Rb.upf
H 1.01 H.upf
I 126.90 I.upf
CELL_PARAMETERS angstrom
7.6672 0.0000 0.0000
0.0000 7.6672 0.0000
0.0000 0.0000 9.5441
ATOMIC_POSITIONS crystal
Rb 0.0000 0.0000 0.0000
Rb 0.0000 0.5000 0.2500
Rb 0.5000 0.0000 0.7500
Rb 0.5000 0.5000 0.5000
H 0.0000 0.0000 0.5000
H 0.0000 0.5000 0.7500
H 0.5000 0.0000 0.2500
H 0.5000 0.5000 0.0000
I 0.1146 0.7500 0.6250
I 0.2500 0.1146 0.3750
I 0.2500 0.3854 0.8750
I 0.3854 0.7500 0.1250
I 0.6146 0.2500 0.1250
I 0.7500 0.6146 0.8750
I 0.7500 0.8854 0.3750
I 0.8854 0.2500 0.6250
```

(9)
Density functional theory data (PBE-GGA) for an optimized crystal structure of Na2ZnSnF. Values from VASP.

## Properties
**Total magnetization**: 0.00 μB per formula unit
**Raw formation energy**: -0.309 eV/atom
**SG**: P4/mmm (123)
**Final energy**: -2.266 eV/atom

The structure in Quantum ESPRESSO input format:
```
&SYSTEM
  ibrav = 0, nat = 5, ntyp = 4
/
ATOMIC_SPECIES
Na 22.99 Na.upf
Zn 65.41 Zn.upf
Sn 118.71 Sn.upf
F 19.00 F.upf
CELL_PARAMETERS angstrom
5.7658 0.0000 0.0000
0.0000 5.7658 0.0000
0.0000 0.0000 4.7215
ATOMIC_POSITIONS crystal
Na 0.0000 0.5000 0.0000
Na 0.5000 0.0000 0.0000
Zn 0.0000 0.0000 0.0000
Sn 0.0000 0.0000 0.5000
F 0.5000 0.5000 0.5000
```

(10)
Density functional theory data (PBE-GGA) for an optimized crystal structure of Pr2SmDyHo2. Values from VASP.

## Properties
**Total magnetization**: 0.00 μB per formula unit
**Formation energy from the elements**: 0.0684 eV per atom
**SG**: Pmma (51)
**Final energy**: -4.604 eV/atom

The structure in Quantum ESPRESSO input format:
```
&SYSTEM
  ibrav = 0, nat = 12, ntyp = 4
/
ATOMIC_SPECIES
Pr 140.91 Pr.upf
Sm 150.36 Sm.upf
Dy 162.50 Dy.upf
Ho 164.93 Ho.upf
CELL_PARAMETERS angstrom
7.0408 0.0000 0.0000
0.0000 5.7062 0.0000
0.0000 0.0000 9.8979
ATOMIC_POSITIONS crystal
Pr 0.0000 0.0000 0.0000
Pr 0.2500 0.5000 0.1714
Pr 0.5000 0.0000 0.0000
Pr 0.7500 0.5000 0.8286
Sm 0.0000 0.5000 0.5000
Sm 0.5000 0.5000 0.5000
Dy 0.2500 0.0000 0.6631
Dy 0.7500 0.0000 0.3369
Ho 0.2500 0.0000 0.3336
Ho 0.2500 0.5000 0.8342
Ho 0.7500 0.0000 0.6664
Ho 0.7500 0.5000 0.1658
```

(11)
Density functional theory data (PBE-GGA) for an optimized crystal structure of ScCrGaAs2. Values from VASP.

## Properties
**Total magnetization**: 0.38 μB per formula unit
**Formation energy from the elements**: 1.1199 eV per atom
**SG**: P4/mmm (123)
**Final energy**: -4.536 eV/atom

The structure in Quantum ESPRESSO input format:
```
&SYSTEM
  ibrav = 0, nat = 5, ntyp = 4
/
ATOMIC_SPECIES
Sc 44.96 Sc.upf
Cr 52.00 Cr.upf
Ga 69.72 Ga.upf
As 74.92 As.upf
CELL_PARAMETERS angstrom
4.8384 0.0000 0.0000
0.0000 4.8384 0.0000
0.0000 0.0000 4.9017
ATOMIC_POSITIONS crystal
Sc 0.0000 0.0000 0.0000
Cr 0.5000 0.5000 0.0000
Ga 0.0000 0.0000 0.5000
As 0.0000 0.5000 0.5000
As 0.5000 0.0000 0.5000
```

(12)
Density functional theory data (PBE-GGA) for an optimized crystal structure of CoRuW2. Values from VASP.

## Properties
**Total magnetization**: 0.00 μB per formula unit
**Formation energy from the elements**: 0.0415 eV per atom
**SG**: I4/mmm (139)
**Final energy**: -10.531 eV/atom
**Distance to the lowest polymorph of the same formula**: 0.0016 eV per atom

The structure in Quantum ESPRESSO input format:
```
&SYSTEM
  ibrav = 0, nat = 8, ntyp = 3
/
ATOMIC_SPECIES
Co 58.93 Co.upf
Ru 101.07 Ru.upf
W 183.84 W.upf
CELL_PARAMETERS angstrom
3.8694 0.0000 0.0000
0.0000 3.8694 0.0000
0.0000 0.0000 7.5724
ATOMIC_POSITIONS crystal
Co 0.0000 0.0000 0.0000
Co 0.5000 0.5000 0.5000
Ru 0.0000 0.0000 0.5000
Ru 0.5000 0.5000 0.0000
W 0.0000 0.5000 0.2500
W 0.0000 0.5000 0.7500
W 0.5000 0.0000 0.2500
W 0.5000 0.0000 0.7500
```